# 1
# CaErCu10

A relaxed CaErCu10 crystal (GGA-PBE, the Alexandria database).

Unit cell a=4.0454 b=5.1006 c=8.7538 alpha=90.00 beta=90.00 gamma=90.00
Last column: nearest neighbours and their distance in Å.
Space group Pmmm (No. 47)
Unique sites:
Ca (0.0000, 0.0000, 0.0000) x1  18 Cu 2.94-3.29
Er (0.0000, 0.5000, 0.5000) x1  14 Cu 2.90-3.20
Cu (0.0000, 0.0000, 0.3359) x2  6 Cu 2.48-2.50
Cu (0.0000, 0.5000, 0.1690) x2  6 Cu 2.50-2.51
Cu (0.5000, 0.0000, 0.5000) x1  8 Cu 2.48-2.50
Cu (0.5000, 0.2543, 0.2560) x4  8 Cu 2.50-2.59
Cu (0.5000, 0.5000, 0.0000) x1  8 Cu 2.51-2.57

Results
As for the density of states at the Fermi level: 0.564 states/eV per atom. Its total magnetic moment is 0.0 μB/f.u. The energy of formation from the pure elements comes out at -1.90 eV/f.u.


# 2
# CaErGaCu

A relaxed CaErGaCu crystal (GGA-PBE, the Alexandria database).

Unit cell a=7.0868 b=7.0868 c=7.0868 alpha=90.00 beta=90.00 gamma=90.00
Last column: nearest neighbours and their distance in Å.
Space group F-43m (No. 216)
Unique sites:
Ca (0.0000, 0.0000, 0.0000) x4  4 Cu 3.07, 4 Ga 3.07
Er (0.0000, 0.0000, 0.5000) x4  4 Cu 3.07, 4 Ga 3.07
Ga (0.2500, 0.2500, 0.7500) x4  4 Er 3.07, 4 Ca 3.07
Cu (0.2500, 0.2500, 0.2500) x4  4 Er 3.07, 4 Ca 3.07

Results
As for the density of states at the Fermi level: 0.899 states/eV per atom. Its total magnetic moment is 0.0 μB/f.u. The energy of formation from the pure elements comes out at -1.31 eV/f.u.


# 3
# CaEr2Cu2Ge2

A relaxed CaEr2Cu2Ge2 crystal (GGA-PBE, the Alexandria database).

Unit cell a=4.3382 b=4.3382 c=27.5171 alpha=90.00 beta=90.00 gamma=120.00
Last column: nearest neighbours and their distance in Å.
Space group R-3m (No. 166, hexagonal axes)
Unique sites:
Ca (0.0000, 0.0000, 0.0000) x3  6 Cu 3.22, 6 Ge 3.27, 2 Er 3.51
Er (0.0000, 0.0000, 0.1276) x6  3 Ge 2.87, 3 Cu 2.91
Cu (0.0000, 0.0000, 0.4071) x6  3 Ge 2.51
Ge (0.0000, 0.0000, 0.2567) x6  3 Cu 2.51

Results
As for the density of states at the Fermi level: 0.356 states/eV per atom. Its total magnetic moment is 0.0 μB/f.u. The energy of formation from the pure elements comes out at -3.23 eV/f.u.


# 4
# CaErCuGe

A relaxed CaErCuGe crystal (GGA-PBE, the Alexandria database).

Unit cell a=7.0528 b=7.0528 c=7.0528 alpha=90.00 beta=90.00 gamma=90.00
Last column: nearest neighbours and their distance in Å.
Space group F-43m (No. 216)
Unique sites:
Ca (0.0000, 0.0000, 0.0000) x4  4 Cu 3.05, 4 Ge 3.05
Er (0.0000, 0.0000, 0.5000) x4  4 Ge 3.05, 4 Cu 3.05
Cu (0.2500, 0.2500, 0.2500) x4  4 Er 3.05, 4 Ca 3.05
Ge (0.2500, 0.2500, 0.7500) x4  4 Er 3.05, 4 Ca 3.05

Results
As for the density of states at the Fermi level: 0.439 states/eV per atom. Its total magnetic moment is 0.0 μB/f.u. The energy of formation from the pure elements comes out at -1.80 eV/f.u.